# Mn3O5F (PBE+U, optimized geometry)
# DFT total energy: -6.96 eV/atom
# Density of states at the Fermi level: 1.88 states/eV/cell
# Total magnetization: 10.00 μB/f.u.
data_Mn3O5F
_cell_length_a 3.021
_cell_length_b 4.538
_cell_length_c 13.650
_cell_angle_alpha 90.00
_cell_angle_beta 90.00
_cell_angle_gamma 90.00
_space_group_name_H-M_alt 'P 1'
_space_group_IT_number 1
loop_
_space_group_symop_operation_xyz
'x,y,z'
loop_
_atom_site_label
_atom_site_fract_x
_atom_site_fract_y
_atom_site_fract_z
Mn1 0.000 0.219 0.000
Mn2 0.000 0.220 0.320
Mn3 0.000 0.279 0.660
Mn4 0.500 0.721 0.160
Mn5 0.500 0.780 0.820
Mn6 0.500 0.781 0.500
O1 0.000 0.535 0.225
O2 0.000 0.574 0.557
O3 0.000 0.921 0.097
O4 0.000 0.955 0.431
O5 0.000 0.969 0.761
O6 0.500 0.031 0.261
O7 0.500 0.045 0.931
O8 0.500 0.079 0.597
O9 0.500 0.426 0.057
O10 0.500 0.465 0.725
F1 0.000 0.548 0.892
F2 0.500 0.452 0.392